(1)
Nd5Ho3Sc2 (PBE-GGA, relaxed); symmetry = No. 2; DFT formation energy = 42 meV/atom
1.0
8.245 2.029 -4.043
0.514 8.469 -4.037
-1.775 -2.133 10.831
Nd Ho Sc
10 6 4
direct
0.323 0.574 0.052 Nd
0.677 0.426 0.948 Nd
0.075 0.824 0.554 Nd
0.572 0.321 0.546 Nd
0.925 0.176 0.446 Nd
0.428 0.679 0.454 Nd
0.873 0.630 0.752 Nd
0.127 0.370 0.248 Nd
0.379 0.122 0.750 Nd
0.621 0.878 0.250 Nd
0.178 0.928 0.954 Ho
0.822 0.072 0.046 Ho
0.772 0.523 0.349 Ho
0.228 0.477 0.651 Ho
0.973 0.730 0.150 Ho
0.027 0.270 0.850 Ho
0.725 0.977 0.651 Sc
0.275 0.023 0.349 Sc
0.523 0.782 0.856 Sc
0.477 0.218 0.144 Sc

(2)
LuGaGe2 (PBE-GGA, relaxed); symmetry = No. 123; DFT formation energy = -286 meV/atom; ΔE to the lowest computed polymorph = 118 meV per atom
1.0
3.627 0.000 0.000
0.000 3.627 0.000
0.000 0.000 6.007
Ge Lu Ga
2 1 1
direct
0.000 0.000 0.780 Ge
0.000 0.000 0.220 Ge
0.500 0.500 0.500 Lu
0.500 0.500 0.000 Ga

(3)
Sm3Mn2C4 (PBE-GGA, relaxed); symmetry = No. 12; DFT formation energy = -25 meV/atom
1.0
-2.588 -2.504 0.133
4.951 -2.399 2.396
-1.622 1.995 5.996
Sm Mn C
3 2 4
direct
0.369 0.738 0.477 Sm
0.000 0.000 0.000 Sm
0.631 0.262 0.523 Sm
0.243 0.487 0.120 Mn
0.757 0.513 0.880 Mn
0.655 0.310 0.133 C
0.221 0.443 0.778 C
0.779 0.557 0.222 C
0.345 0.690 0.867 C

(4)
CuPt (PBE-GGA, relaxed); symmetry = No. 194; DFT formation energy = 678 meV/atom
1.0
4.222 0.000 0.000
-2.111 3.656 0.000
0.000 0.000 4.980
Cu Pt
2 2
direct
0.333 0.667 0.250 Cu
0.667 0.333 0.750 Cu
0.333 0.667 0.750 Pt
0.667 0.333 0.250 Pt

(5)
Pa3RhSe6 (PBE-GGA, relaxed); symmetry = No. 148; uncorrected energy = -6.672 eV per atom
1.0
-1.847 5.457 -5.662
-0.203 -5.540 -5.875
-7.944 -1.204 0.830
Pa Rh Se
6 2 12
direct
0.414 0.928 0.777 Pa
0.928 0.777 0.414 Pa
0.223 0.586 0.072 Pa
0.777 0.414 0.928 Pa
0.072 0.223 0.586 Pa
0.586 0.072 0.223 Pa
0.000 0.000 0.000 Rh
0.500 0.500 0.500 Rh
0.300 0.917 0.122 Se
0.083 0.878 0.700 Se
0.577 0.805 0.468 Se
0.878 0.700 0.083 Se
0.468 0.577 0.805 Se
0.195 0.532 0.423 Se
0.805 0.468 0.577 Se
0.532 0.423 0.195 Se
0.122 0.300 0.917 Se
0.423 0.195 0.532 Se
0.917 0.122 0.300 Se
0.700 0.083 0.878 Se

(6)
LiPm3Sm4Se8 (PBE-GGA, relaxed); symmetry = No. 166; uncorrected energy = -5.726 eV per atom
1.0
-0.272 -8.009 2.273
2.744 2.060 7.587
-6.794 3.678 -3.114
Li Pm Sm Se
1 3 4 8
direct
0.000 0.500 0.000 Li
0.500 0.500 0.000 Pm
0.500 0.500 0.500 Pm
0.000 0.500 0.500 Pm
0.500 0.000 0.000 Sm
0.500 0.000 0.500 Sm
0.000 0.000 0.000 Sm
0.000 0.000 0.500 Sm
0.244 0.745 0.001 Se
0.244 0.745 0.487 Se
0.249 0.248 0.499 Se
0.758 0.745 0.001 Se
0.242 0.255 0.999 Se
0.751 0.752 0.501 Se
0.756 0.255 0.513 Se
0.756 0.255 0.999 Se

(7)
CuOsSe (PBE-GGA, relaxed); symmetry = No. 216; ΔE to the lowest computed polymorph = 157 meV per atom
1.0
4.155 0.000 0.000
2.078 3.599 0.000
2.078 1.200 3.393
Cu Os Se
1 1 1
direct
0.500 0.500 0.500 Cu
0.750 0.750 0.750 Os
0.000 0.000 0.000 Se

(8)
La3TmHg (PBE-GGA, relaxed); symmetry = No. 59; DFT formation energy = -100 meV/atom; ΔE to the lowest computed polymorph = 0 meV per atom
1.0
3.661 1.205 0.000
1.068 9.076 0.000
0.000 0.000 10.799
La Tm Hg
6 2 2
direct
0.997 0.753 0.502 La
0.003 0.247 0.498 La
0.997 0.753 0.998 La
0.003 0.247 0.002 La
0.703 0.547 0.750 La
0.297 0.453 0.250 La
0.308 0.942 0.750 Tm
0.692 0.058 0.250 Tm
0.529 0.221 0.750 Hg
0.471 0.779 0.250 Hg

no.,M_tot (μB/atom)
1,0.000
2,0.000
3,0.000
4,0.000
5,0.346
6,0.000
7,0.000
8,0.000